# 1
The following is a GGA-PBE calculation of crystalline TmZrBeRh at its relaxed geometry, from Alexandria.

a = 4.697 Å, b = 4.697 Å, c = 4.697 Å
α = 60.00°, β = 60.00°, γ = 60.00°
Fractional positions:
1 Tm 0.000 0.000 0.000
2 Zr 0.500 0.500 0.500
3 Be 0.750 0.750 0.750
4 Rh 0.250 0.250 0.250

Results
formation energy	-0.34	eV/atom
SG	F-43m (216)

***

# 2
The following is a GGA-PBE calculation of crystalline TbPm2Ni2 at its relaxed geometry, from Alexandria.

a = 6.644 Å, b = 6.644 Å, c = 11.199 Å
α = 117.63°, β = 117.63°, γ = 33.24°
Fractional positions:
1 Tb 0.205 0.205 0.358
2 Tb 0.795 0.795 0.642
3 Pm 0.339 0.339 0.931
4 Pm 0.455 0.455 0.308
5 Pm 0.545 0.545 0.692
6 Pm 0.661 0.661 0.069
7 Ni 0.006 0.006 0.887
8 Ni 0.114 0.114 0.547
9 Ni 0.886 0.886 0.453
10 Ni 0.994 0.994 0.113

Results
distance to the lowest polymorph of the same formula	0.00	eV/f.u.
formation energy	-0.28	eV/atom
SG	C2/m (12)

***

# 3
The following is a GGA-PBE calculation of crystalline K3Tl2ReO6 at its relaxed geometry, from Alexandria.

a = 6.469 Å, b = 6.469 Å, c = 6.297 Å
α = 100.69°, β = 100.69°, γ = 118.84°
Fractional positions:
1 K 0.000 0.000 0.000
2 K 0.334 0.666 0.000
3 K 0.666 0.334 0.000
4 Tl 0.168 0.832 0.500
5 Tl 0.832 0.168 0.500
6 Re 0.500 0.500 0.500
7 O 0.192 0.438 0.307
8 O 0.325 0.325 0.686
9 O 0.438 0.192 0.307
10 O 0.562 0.808 0.693
11 O 0.675 0.675 0.314
12 O 0.808 0.562 0.693

Results
SG	C2/m (12)
ΔE_f (raw)	-1.3928	eV/atom

***

Number 1: spin magnetization 0.0 μB/f.u., total DFT energy (no corrections) -6.37 eV per atom. Number 2: spin magnetization 0.0 μB/f.u., total DFT energy (no corrections) -5.42 eV per atom. Number 3: spin magnetization 0.0 μB/f.u., total DFT energy (no corrections) -5.58 eV per atom.